#one
DFT (PBE) results for a geometry-optimized K3InBi structure.

Results
The space-group type is Pm-3m. As for the magnetic moment: 0.806 μB/f.u.

```
5
Lattice="6.490 0.000 0.000 0.000 6.490 0.000 0.000 0.000 6.490" Properties=species:S:1:pos:R:3 pbc="T T T"
K 0.000 0.000 3.245
K 0.000 3.245 0.000
K 3.245 0.000 0.000
In 0.000 0.000 0.000
Bi 3.245 3.245 3.245
```

=====

#two
DFT (PBE) results for a geometry-optimized K3InBi structure.

Results
The space-group type is Ima2. As for the magnetic moment: 0.224 μB/f.u.

```
10
Lattice="-5.928 4.102 4.899 5.928 -4.102 4.899 5.928 4.102 -4.899" Properties=species:S:1:pos:R:3 pbc="T T T"
K 0.421 1.933 0.000
K 5.507 1.933 0.000
K 2.964 -0.096 2.722
K 2.964 4.198 -2.177
K 0.421 2.170 4.899
K 5.507 2.170 4.899
In 2.964 -0.452 6.196
In 2.964 4.554 1.297
Bi 8.891 0.799 -0.617
Bi -2.964 3.303 4.283
```

=====

Most favorable structure: #two. The second most favorable one is 0.468 eV/atom above it.

=====

#one
DFT (PBE) results for a geometry-optimized K2In2Bi structure.

Results
The space-group type is P4/mbm. As for the magnetic moment: 0.000 μB/f.u.

```
10
Lattice="8.097 0.000 0.000 0.000 8.097 0.000 0.000 0.000 5.804" Properties=species:S:1:pos:R:3 pbc="T T T"
K 1.487 2.562 0.000
K 2.562 6.610 0.000
K 5.535 1.487 0.000
K 6.610 5.535 0.000
In 1.031 5.080 2.902
In 3.017 1.031 2.902
In 5.080 7.066 2.902
In 7.066 3.017 2.902
Bi 0.000 0.000 2.902
Bi 4.048 4.048 2.902
```

=====

#two
DFT (PBE) results for a geometry-optimized K2In2Bi structure.

Results
The space-group type is I4/mmm. As for the magnetic moment: 0.000 μB/f.u.

```
10
Lattice="4.799 0.000 0.000 0.000 4.799 0.000 0.000 0.000 15.795" Properties=species:S:1:pos:R:3 pbc="T T T"
K 0.000 2.399 3.949
K 0.000 2.399 11.846
K 2.399 0.000 3.949
K 2.399 0.000 11.846
In 0.000 0.000 1.396
In 0.000 0.000 14.400
In 2.399 2.399 6.502
In 2.399 2.399 9.293
Bi 0.000 0.000 7.898
Bi 2.399 2.399 0.000
```

=====

Most favorable structure: #one. The second most favorable one is 0.255 eV/atom above it.

=====

#one
DFT (PBE) results for a geometry-optimized KIn6Bi4 structure.

Results
The space-group type is P-6m2. As for the magnetic moment: 0.000 μB/f.u.

```
11
Lattice="9.126 0.000 0.000 -4.563 7.903 0.000 0.000 0.000 5.129" Properties=species:S:1:pos:R:3 pbc="T T T"
K 0.000 0.000 0.000
In -1.777 4.243 0.000
In 2.759 1.593 2.564
In 1.777 4.243 0.000
In 0.000 7.321 0.000
In 6.367 1.593 2.564
In 4.563 4.717 2.564
Bi 0.000 3.143 2.564
Bi -1.841 6.332 2.564
Bi 1.841 6.332 2.564
Bi 4.563 2.634 0.000
```

=====

#two
DFT (PBE) results for a geometry-optimized KIn6Bi4 structure.

Results
The space-group type is I4/mmm. As for the magnetic moment: 0.000 μB/f.u.

```
11
Lattice="-2.466 2.466 15.911 2.466 -2.466 15.911 2.466 2.466 -15.911" Properties=species:S:1:pos:R:3 pbc="T T T"
K 0.000 0.000 0.000
In 2.466 0.000 3.678
In 2.466 0.000 7.955
In 2.466 0.000 12.232
In 0.000 2.466 3.678
In 0.000 2.466 7.955
In 0.000 2.466 12.232
Bi 0.000 0.000 5.727
Bi 0.000 0.000 14.209
Bi 0.000 0.000 17.612
Bi 0.000 0.000 26.094
```

=====

Most favorable structure: #two. The second most favorable one is 0.016 eV/atom above it.

=====

#one
DFT (PBE) results for a geometry-optimized La8In2Bi structure.

Results
The space-group type is C2/m. As for the magnetic moment: 0.000 μB/f.u.

```
11
Lattice="4.550 -7.662 0.000 4.550 7.662 0.000 -2.260 0.000 5.429" Properties=species:S:1:pos:R:3 pbc="T T T"
La 0.384 1.658 3.235
La 4.550 4.234 0.000
La 0.384 -1.658 3.235
La 3.210 0.000 1.102
La 3.629 0.000 4.328
La 6.456 1.658 2.194
La 4.550 -4.234 0.000
La 6.456 -1.658 2.194
In 3.420 2.940 2.715
In 3.420 -2.940 2.715
Bi 0.000 0.000 0.000
```

=====

#two
DFT (PBE) results for a geometry-optimized La8In2Bi structure.

Results
The space-group type is C2/m. As for the magnetic moment: 0.000 μB/f.u.

```
11
Lattice="9.038 -2.552 0.000 9.038 2.552 0.000 -2.982 0.000 7.900" Properties=species:S:1:pos:R:3 pbc="T T T"
La 0.201 0.000 1.893
La 0.566 0.000 5.698
La 4.143 0.000 4.544
La 7.100 0.000 0.409
La 7.994 0.000 7.491
La 10.951 0.000 3.356
La 14.529 0.000 2.202
La 14.894 0.000 6.007
In 3.496 0.000 1.272
In 11.598 0.000 6.628
Bi 7.547 0.000 3.950
```

=====

Most favorable structure: #two. The second most favorable one is 0.063 eV/atom above it.